Record 1
DFT (GGA+U) results for crystalline NaLiNiO2 at its relaxed geometry.

```
10
Lattice="2.699 -5.802 0.000 2.699 5.802 0.000 0.000 0.000 4.283" Properties=species:S:1:pos:R:3 pbc="T T T"
Na 2.699 2.901 3.405
Na 2.699 -2.901 0.878
Li 0.000 0.000 2.142
Li 2.699 0.000 2.142
Ni 1.350 0.000 0.000
Ni 4.049 0.000 0.000
O 2.699 4.564 0.775
O 2.699 1.239 0.775
O 2.699 -1.239 3.508
O 2.699 -4.564 3.508
```

Values from the calculation:
Final energy (eV for the cell shown): -41.871
Total magnetic moment (μB/f.u.): 2.002
Space-group type: Cmme, No. 67

Record 2
DFT (GGA+U) results for crystalline Na4LiNi5O10 at its relaxed geometry.

```
20
Lattice="11.302 -1.429 0.000 11.302 1.429 0.000 -0.623 0.000 6.156" Properties=species:S:1:pos:R:3 pbc="T T T"
Na 2.041 0.000 1.840
Na 6.236 0.000 5.558
Na 15.746 0.000 0.598
Na 19.942 0.000 4.316
Li 10.991 0.000 3.078
Ni 1.700 0.000 4.889
Ni 6.546 0.000 2.479
Ni 11.302 0.000 0.000
Ni 15.437 0.000 3.677
Ni 20.282 0.000 1.267
O -0.430 0.000 4.846
O 3.922 0.000 4.929
O 4.340 0.000 2.421
O 8.840 0.000 2.533
O 8.511 0.000 6.151
O 13.472 0.000 0.005
O 13.142 0.000 3.623
O 17.643 0.000 3.736
O 18.060 0.000 1.227
O 22.412 0.000 1.310
```

Values from the calculation:
Final energy (eV for the cell shown): -92.341
Total magnetic moment (μB/f.u.): 5.000
Space-group type: C2/m, No. 12

Record 3
DFT (GGA+U) results for crystalline Na2LiNi3O6 at its relaxed geometry.

```
12
Lattice="3.020 0.000 0.000 0.399 6.180 0.000 1.402 1.971 6.273" Properties=species:S:1:pos:R:3 pbc="T T T"
Na 0.872 2.378 1.060
Na 3.949 5.772 5.213
Li 2.211 0.985 3.137
Ni 1.081 5.502 1.053
Ni 2.410 4.075 3.137
Ni 3.740 2.648 5.220
O 1.109 5.514 2.970
O 2.465 7.492 5.377
O 2.414 4.011 5.038
O 2.407 4.140 1.236
O 2.356 0.658 0.897
O 3.712 2.636 3.303
```

Values from the calculation:
Final energy (eV for the cell shown): -55.845
Total magnetic moment (μB/f.u.): 3.000
Space-group type: P-1, No. 2